Entry 1:
DFT (PBE) results for crystalline MgZrSiOs at its relaxed geometry.

Unit cell a=6.348 b=6.348 c=6.348 alpha=90.00 beta=90.00 gamma=90.00
Space group F-43m (No. 216)
Inequivalent atoms, fractional coordinates:
Mg  0.000  0.000  0.000
Zr  0.250  0.250  0.750
Si  0.250  0.250  0.250
Os  0.000  0.000  0.500

## Properties
* E_tot: -6.997 eV/atom


Entry 2:
DFT (PBE) results for crystalline Na4CdAgGe2 at its relaxed geometry.

Unit cell a=4.918 b=4.918 c=6.973 alpha=90.00 beta=90.00 gamma=90.00
Space group P-4m2 (No. 115)
Inequivalent atoms, fractional coordinates:
Na  0.000  0.000  0.000
Na  0.000  0.500  0.741
Na  0.500  0.500  0.500
Cd  0.500  0.500  0.000
Ag  0.000  0.000  0.500
Ge  0.000  0.500  0.256

## Properties
* E_tot: -2.355 eV/atom


Entry 3:
DFT (PBE) results for crystalline LiErB4 at its relaxed geometry.

Unit cell a=3.1823 b=3.1823 c=6.6876 alpha=90.00 beta=90.00 gamma=120.00
Space group P6/mmm (No. 191)
Inequivalent atoms, fractional coordinates:
Li  0.0000  0.0000  0.0000
Er  0.0000  0.0000  0.5000
B  0.3333  0.6667  0.2225

## Properties
* E_tot: -5.772 eV/atom